No. 1
Density functional theory data (GGA-PBE) for crystalline Ca2OsCSe at its relaxed geometry.

space-group type	P4/mmm, No. 123
theoretical density	5.896	g cm⁻³
energy above the most stable polymorph in this dataset	0	meV/atom
crystal system	tetragonal
formation energy without anion corrections	-0.387	eV/atom

Unit cell a=5.114 b=5.114 c=3.891 alpha=90.00 beta=90.00 gamma=90.00
Site moments in Bohr magnetons follow the coordinates.
Atoms (fractional coordinates):
Ca (0.000, 0.500, 0.000)  0.00
Os (0.000, 0.000, 0.500)  0.42
Se (0.500, 0.500, 0.500)  0.07
C (0.000, 0.000, 0.000)  -0.01
Ca (0.500, 0.000, 0.000)  0.00

No. 2
Density functional theory data (GGA-PBE) for crystalline Pm3Pr4Dy4 at its relaxed geometry.

space-group type	Immm, No. 71
ΔE_f	0.16	eV per atom
theoretical density	7.134	g cm⁻³
energy above the most stable polymorph in this dataset	34	meV/atom
crystal system	orthorhombic

Unit cell a=3.578 b=11.471 c=11.114 alpha=121.07 beta=99.26 gamma=90.00
Atoms (fractional coordinates):
Pm (0.109, 0.109, 0.218)
Pm (0.891, 0.891, 0.782)
Pr (0.210, 0.710, 0.420)
Pr (0.500, 0.784, 0.000)
Dy (0.673, 0.422, 0.346)
Pr (0.790, 0.290, 0.580)
Dy (0.327, 0.578, 0.654)
Pr (0.500, 0.216, 0.000)
Pm (0.000, 0.500, 0.000)
Dy (0.673, 0.925, 0.346)
Dy (0.327, 0.075, 0.654)

No. 3
Density functional theory data (GGA-PBE) for crystalline Y4HCN2 at its relaxed geometry.

space-group type	I4/mmm, No. 139
theoretical density	5.344	g cm⁻³
final energy	-7.90	eV per atom
crystal system	tetragonal

Unit cell a=4.961 b=4.961 c=6.115 alpha=113.93 beta=113.93 gamma=90.00
Atoms (fractional coordinates):
Y (0.175, 0.175, 0.475)
Y (0.937, 0.437, 0.000)
N (0.687, 0.187, 0.500)
N (0.187, 0.687, 0.500)
H (0.437, 0.437, 0.000)
Y (0.437, 0.937, 0.000)
Y (0.699, 0.699, 0.525)
C (0.937, 0.937, 0.000)

No. 4
Density functional theory data (GGA-PBE) for crystalline Pm2Ga3Co at its relaxed geometry.

space-group type	Fmmm, No. 69
ΔE_f	-0.52	eV per atom
theoretical density	7.384	g cm⁻³
energy above the most stable polymorph in this dataset	8	meV/atom
crystal system	orthorhombic

Unit cell a=5.797 b=5.797 c=8.449 alpha=106.68 beta=106.68 gamma=99.39
Site moments in Bohr magnetons follow the coordinates.
Atoms (fractional coordinates):
Co (0.337, 0.337, 0.674)  0.17
Ga (0.172, 0.656, 0.828)  0.00
Ga (0.656, 0.172, 0.828)  0.00
Ga (0.344, 0.828, 0.172)  0.00
Pm (0.750, 0.250, 0.500)  -0.01
Ga (0.174, 0.174, 0.348)  0.00
Pm (0.256, 0.256, 0.000)  0.00
Co (0.663, 0.663, 0.326)  0.17
Pm (0.744, 0.744, 0.000)  0.00
Ga (0.828, 0.344, 0.172)  0.00
Ga (0.826, 0.826, 0.652)  0.00
Pm (0.250, 0.750, 0.500)  -0.01

No. 5
Density functional theory data (GGA-PBE) for crystalline SrCu2BiF at its relaxed geometry.

space-group type	P4/mmm, No. 123
theoretical density	5.834	g cm⁻³
crystal system	tetragonal
formation energy without anion corrections	-0.445	eV/atom

Unit cell a=5.105 b=4.834 c=5.105 alpha=90.00 beta=90.00 gamma=90.00
Atoms (fractional coordinates):
Cu (0.000, 0.000, 0.500)
F (0.000, 0.500, 0.000)
Sr (0.500, 0.500, 0.500)
Cu (0.500, 0.000, 0.000)
Bi (0.000, 0.000, 0.000)